1.
A plane-wave DFT calculation with GGA-PBE was carried out for an optimized crystal structure of Er3Zn9Co2.

Structure (POSCAR):
```
Er3Zn9Co2
1.0
-1.625 3.511 -1.824
-5.879 -2.505 -4.600
-6.854 1.325 3.642
Er Zn Co
3 9 2
Cartesian
0.000 0.000 0.000
-5.048 2.065 -1.557
-9.309 0.266 -1.225
-6.366 -0.590 -0.479
-11.694 0.760 -3.166
-2.664 1.572 0.384
-11.968 1.840 -0.842
-2.389 0.492 -1.940
-9.141 1.499 -4.016
-5.217 0.832 1.234
-9.571 3.191 -0.377
-4.786 -0.859 -2.405
-7.344 1.817 0.010
-7.013 0.515 -2.792
```

As for the calculated volume: 16.88 Å³/atom.



2.
A plane-wave DFT calculation with GGA-PBE was carried out for an optimized crystal structure of ErZrZnCo.

Structure (POSCAR):
```
ErZrZnCo
1.0
-3.224 0.262 -3.443
-1.133 -3.862 -2.474
-4.235 -2.013 0.572
Zn Co Zr Er
1 1 1 1
Cartesian
-4.296 -2.806 -2.673
0.000 0.000 0.000
-2.148 -1.403 -1.336
-6.444 -4.210 -4.009
```

As for the calculated volume: 18.64 Å³/atom.



3.
A plane-wave DFT calculation with GGA-PBE was carried out for an optimized crystal structure of ErZrCo10.

Structure (POSCAR):
```
ErZrCo10
1.0
-3.883 0.516 -0.569
-0.883 -1.808 4.386
0.541 7.677 3.274
Er Zr Co
1 1 10
Cartesian
0.000 0.000 0.000
-0.171 2.934 3.830
0.184 2.616 1.116
0.005 5.428 4.894
-0.347 0.440 2.766
0.357 5.061 2.158
-1.671 4.097 1.352
-2.383 -0.646 1.909
-2.027 1.751 1.652
-2.199 4.633 5.439
-2.465 0.854 3.828
-1.760 5.530 3.264
```

As for the calculated volume: 13.31 Å³/atom.



Calculated formation energy, -26.3; -18.8; -11.6 kJ/mol of atoms (same order as the records).
Calculated E_tot, -3.08; -5.57; -7.13 eV per atom (same order as the records).